#a
This record from the Alexandria database describes Ge2IrCl after structural relaxation. The functional is GGA-PBE.

Results
total magnetization = 0.00 μB/atom
N(E_F) = 1.745 states/eV/f.u.

Cell lengths 4.6224, 4.6224, 4.6224 Å; angles 60.00, 60.00, 60.00 degrees
Last column: nearest neighbours and their distance in Å.
Fractional positions:
Ge 0.2500 0.2500 0.2500  4 Cl 2.83, 4 Ir 2.83
Ge 0.7500 0.7500 0.7500  4 Cl 2.83, 4 Ir 2.83
Ir 0.0000 0.0000 0.0000  8 Ge 2.83
Cl 0.5000 0.5000 0.5000  8 Ge 2.83

***

#b
This record from the Alexandria database describes Ge2IrCl after structural relaxation. The functional is GGA-PBE.

Results
total magnetization = 0.00 μB/atom
N(E_F) = 0.767 states/eV/f.u.

Cell lengths 7.0440, 7.0440, 7.0440 Å; angles 128.40, 128.40, 75.97 degrees
Last column: nearest neighbours and their distance in Å.
Fractional positions:
Ge 0.0573 0.6250 0.9323  2 Ir 2.35
Ge 0.3750 0.3073 0.4323  2 Ir 2.35
Ge 0.6927 0.1250 0.0677  2 Ir 2.35
Ge 0.8750 0.9427 0.5677  2 Ir 2.35
Ir 0.0000 0.0000 0.0000  4 Ge 2.35
Ir 0.7500 0.2500 0.5000  4 Ge 2.35
Cl 0.2500 0.7500 0.5000  4 Ge 2.84
Cl 0.5000 0.5000 0.0000  4 Ge 2.84

***

Quick one: most stable of them? #b

***

#a
This record from the Alexandria database describes GeIrCl3 after structural relaxation. The functional is GGA-PBE.

Results
total magnetization = 0.75 μB/atom
N(E_F) = 4.863 states/eV/f.u.

Cell lengths 5.1012, 5.1012, 5.1012 Å; angles 90.00, 90.00, 90.00 degrees
Last column: nearest neighbours and their distance in Å.
Fractional positions:
Ge 0.0000 0.0000 0.0000  6 Cl 2.55
Ir 0.5000 0.5000 0.5000  12 Cl 3.61
Cl 0.0000 0.0000 0.5000  2 Ge 2.55
Cl 0.0000 0.5000 0.0000  2 Ge 2.55
Cl 0.5000 0.0000 0.0000  2 Ge 2.55

***

#b
This record from the Alexandria database describes GeIrCl3 after structural relaxation. The functional is GGA-PBE.

Results
total magnetization = 0.10 μB/atom
N(E_F) = 2.465 states/eV/f.u.

Cell lengths 4.8122, 4.8122, 4.8122 Å; angles 90.00, 90.00, 90.00 degrees
Last column: nearest neighbours and their distance in Å.
Fractional positions:
Ge 0.0000 0.0000 0.0000  12 Cl 3.40
Ir 0.5000 0.5000 0.5000  6 Cl 2.41
Cl 0.0000 0.5000 0.5000  2 Ir 2.41
Cl 0.5000 0.0000 0.5000  2 Ir 2.41
Cl 0.5000 0.5000 0.0000  2 Ir 2.41

***

Quick one: most stable of them? #b